Here is a relaxed Tm2Ti2In3 crystal from Alexandria via LeMat-Bulk. Energies are from PBE.

Properties
The value obtained for the energy of formation from the pure elements is -189 meV per atom. Its total magnetization is 5.9 μB per cell.

CIF file:
```
data_Tm2Ti2In3
_cell_length_a 4.592
_cell_length_b 21.934
_cell_length_c 3.133
_cell_angle_alpha 90.00
_cell_angle_beta 90.00
_cell_angle_gamma 90.00
_symmetry_space_group_name_H-M 'C m m m'
_symmetry_Int_Tables_number 65
_symmetry_space_group_name_Hall '-C 2 2'
loop_
_atom_site_label
_atom_site_type_symbol
_atom_site_fract_x
_atom_site_fract_y
_atom_site_fract_z
_atom_site_occupancy
Tm1 Tm 0.000 0.077 0.000 1
Ti1 Ti 0.000 0.217 0.000 1
In1 In 0.000 0.339 0.500 1
In2 In 0.000 0.500 0.500 1
```

---

Here is a relaxed Li5AlCd crystal from Alexandria via LeMat-Bulk. Energies are from PBE.

Properties
The value obtained for the energy of formation from the pure elements is -83 meV per atom. Its total magnetization is 0.0 μB per cell.

CIF file:
```
data_Li5AlCd
_cell_length_a 9.620
_cell_length_b 5.488
_cell_length_c 9.732
_cell_angle_alpha 90.00
_cell_angle_beta 96.23
_cell_angle_gamma 90.00
_symmetry_space_group_name_H-M 'C 1 2/c 1'
_symmetry_Int_Tables_number 15
loop_
_symmetry_equiv_pos_as_xyz
'x,y,z'
'-x,-y,-z'
'-x,y,-z+1/2'
'x,-y,z+1/2'
'x+1/2,y+1/2,z'
'-x+1/2,-y+1/2,-z'
'-x+1/2,y+1/2,-z+1/2'
'x+1/2,-y+1/2,z+1/2'
loop_
_atom_site_label
_atom_site_type_symbol
_atom_site_fract_x
_atom_site_fract_y
_atom_site_fract_z
_atom_site_occupancy
Li1 Li 0.000 0.237 0.250 1
Li2 Li 0.149 0.487 0.022 1
Li3 Li 0.232 0.034 0.713 1
Al1 Al 0.000 0.288 0.750 1
Cd1 Cd 0.000 0.000 0.000 1
```

---

Here is a relaxed BaSnBiAu2 crystal from Alexandria via LeMat-Bulk. Energies are from PBE.

Properties
The value obtained for the energy of formation from the pure elements is -528 meV per atom. Its total magnetization is 0.0 μB per cell.

CIF file:
```
data_BaSnBiAu2
_cell_length_a 4.768
_cell_length_b 4.768
_cell_length_c 12.614
_cell_angle_alpha 90.00
_cell_angle_beta 90.00
_cell_angle_gamma 90.00
_symmetry_space_group_name_H-M 'I -4 m 2'
_symmetry_Int_Tables_number 119
_symmetry_space_group_name_Hall 'I -4 -2'
loop_
_atom_site_label
_atom_site_type_symbol
_atom_site_fract_x
_atom_site_fract_y
_atom_site_fract_z
_atom_site_occupancy
Ba1 Ba 0.000 0.000 0.000 1
Sn1 Sn 0.000 0.500 0.750 1
Bi1 Bi 0.000 0.500 0.250 1
Au1 Au 0.000 0.000 0.391 1
```

---

Here is a relaxed ReNiHg2 crystal from Alexandria via LeMat-Bulk. Energies are from PBE.

Properties
The value obtained for the energy of formation from the pure elements is 625 meV per atom. Its total magnetization is 0.0 μB per cell.

CIF file:
```
data_ReNiHg2
_cell_length_a 10.781
_cell_length_b 2.772
_cell_length_c 5.009
_cell_angle_alpha 90.00
_cell_angle_beta 111.78
_cell_angle_gamma 90.00
_symmetry_space_group_name_H-M 'C 1 m 1'
_symmetry_Int_Tables_number 8
loop_
_symmetry_equiv_pos_as_xyz
'x,y,z'
'x,-y,z'
'x+1/2,y+1/2,z'
'x+1/2,-y+1/2,z'
loop_
_atom_site_label
_atom_site_type_symbol
_atom_site_fract_x
_atom_site_fract_y
_atom_site_fract_z
_atom_site_occupancy
Re1 Re 0.000 0.000 0.000 1
Ni1 Ni 0.192 0.500 0.327 1
Hg1 Hg 0.240 0.000 0.858 1
Hg2 Hg 0.453 0.000 0.469 1
```